# Sc5Ir4Pt | the Alexandria database | PBE | optimized geometry
data_Sc5Ir4Pt
_symmetry_space_group_name_H-M 'P 4/m m m'
_symmetry_Int_Tables_number 123
_symmetry_space_group_name_Hall '-P 4 2'
_cell_length_a 3.178
_cell_length_b 3.178
_cell_length_c 16.878
_cell_angle_alpha 90.00
_cell_angle_beta 90.00
_cell_angle_gamma 90.00
loop_
_atom_site_label
_atom_site_type_symbol
_atom_site_fract_x
_atom_site_fract_y
_atom_site_fract_z
Sc1 Sc 0.000 0.000 0.000
Sc2 Sc 0.000 0.000 0.198
Sc3 Sc 0.000 0.000 0.397
Ir1 Ir 0.500 0.500 0.099
Ir2 Ir 0.500 0.500 0.298
Pt1 Pt 0.500 0.500 0.500
# * ΔH_f (0 K): -1.06 eV/atom

# CePm2Au | the Alexandria database | PBE | optimized geometry
data_CePm2Au
_symmetry_space_group_name_H-M 'P 4/m m m'
_symmetry_Int_Tables_number 123
_symmetry_space_group_name_Hall '-P 4 2'
_cell_length_a 3.689
_cell_length_b 3.689
_cell_length_c 8.268
_cell_angle_alpha 90.00
_cell_angle_beta 90.00
_cell_angle_gamma 90.00
loop_
_atom_site_label
_atom_site_type_symbol
_atom_site_fract_x
_atom_site_fract_y
_atom_site_fract_z
Ce1 Ce 0.000 0.000 0.000
Pm1 Pm 0.500 0.500 0.282
Au1 Au 0.000 0.000 0.500
# * ΔH_f (0 K): -0.33 eV/atom

NaMgTe2Au | PBE | optimized geometry

```
data_NaMgTe2Au
_symmetry_space_group_name_H-M 'P 4/m m m'
_symmetry_Int_Tables_number 123
_symmetry_space_group_name_Hall '-P 4 2'
_cell_length_a 5.530
_cell_length_b 5.530
_cell_length_c 5.026
_cell_angle_alpha 90.00
_cell_angle_beta 90.00
_cell_angle_gamma 90.00
loop_
_atom_site_label
_atom_site_type_symbol
_atom_site_fract_x
_atom_site_fract_y
_atom_site_fract_z
Na1 Na 0.000 0.000 0.000
Mg1 Mg 0.500 0.500 0.500
Te1 Te 0.000 0.500 0.000
Au1 Au 0.000 0.000 0.500
```

# Nd2Sm3Tl6 | the Alexandria database | PBE | optimized geometry
data_Nd2Sm3Tl6
_symmetry_space_group_name_H-M 'I 4/m m m'
_symmetry_Int_Tables_number 139
_symmetry_space_group_name_Hall '-I 4 2'
_cell_length_a 6.015
_cell_length_b 6.015
_cell_length_c 22.789
_cell_angle_alpha 90.00
_cell_angle_beta 90.00
_cell_angle_gamma 90.00
loop_
_atom_site_label
_atom_site_type_symbol
_atom_site_fract_x
_atom_site_fract_y
_atom_site_fract_z
Nd1 Nd 0.000 0.000 0.079
Sm1 Sm 0.000 0.000 0.359
Sm2 Sm 0.000 0.000 0.500
Tl1 Tl 0.000 0.000 0.220
Tl2 Tl 0.000 0.500 0.070
# * ΔH_f (0 K): 0.09 eV/atom

TaTlO2 | PBE | optimized geometry

```
data_TaTlO2
_symmetry_space_group_name_H-M 'I -4 2 d'
_symmetry_Int_Tables_number 122
_symmetry_space_group_name_Hall 'I -4 2bw'
_cell_length_a 5.670
_cell_length_b 5.670
_cell_length_c 10.331
_cell_angle_alpha 90.00
_cell_angle_beta 90.00
_cell_angle_gamma 90.00
loop_
_atom_site_label
_atom_site_type_symbol
_atom_site_fract_x
_atom_site_fract_y
_atom_site_fract_z
Ta1 Ta 0.000 0.000 0.000
Tl1 Tl 0.000 0.000 0.500
O1 O 0.002 0.250 0.125
```

# LaTlOs2 | the Alexandria database | PBE | optimized geometry
data_LaTlOs2
_symmetry_space_group_name_H-M 'C m m m'
_symmetry_Int_Tables_number 65
_symmetry_space_group_name_Hall '-C 2 2'
_cell_length_a 3.276
_cell_length_b 5.140
_cell_length_c 9.371
_cell_angle_alpha 90.00
_cell_angle_beta 90.00
_cell_angle_gamma 90.00
loop_
_atom_site_label
_atom_site_type_symbol
_atom_site_fract_x
_atom_site_fract_y
_atom_site_fract_z
La1 La 0.000 0.000 0.000
Tl1 Tl 0.000 0.000 0.500
Os1 Os 0.000 0.500 0.250
# * ΔH_f (0 K): 0.89 eV/atom

# Sm4YTm10 | the Alexandria database | PBE | optimized geometry
data_Sm4YTm10
_symmetry_space_group_name_H-M 'I 4/m'
_symmetry_Int_Tables_number 87
_symmetry_space_group_name_Hall '-I 4'
_cell_length_a 12.114
_cell_length_b 12.114
_cell_length_c 7.648
_cell_angle_alpha 90.00
_cell_angle_beta 90.00
_cell_angle_gamma 90.00
loop_
_atom_site_label
_atom_site_type_symbol
_atom_site_fract_x
_atom_site_fract_y
_atom_site_fract_z
Sm1 Sm 0.101 0.701 0.000
Y1 Y 0.000 0.000 0.500
Tm1 Tm 0.000 0.500 0.250
Tm2 Tm 0.099 0.200 0.250
# * ΔH_f (0 K): 0.76 eV/atom

# AlRe4As | the Alexandria database | PBE | optimized geometry
data_AlRe4As
_symmetry_space_group_name_H-M 'F -4 3 m'
_symmetry_Int_Tables_number 216
_symmetry_space_group_name_Hall 'F -4 2 3'
_cell_length_a 7.379
_cell_length_b 7.379
_cell_length_c 7.379
_cell_angle_alpha 90.00
_cell_angle_beta 90.00
_cell_angle_gamma 90.00
loop_
_atom_site_label
_atom_site_type_symbol
_atom_site_fract_x
_atom_site_fract_y
_atom_site_fract_z
Al1 Al 0.000 0.000 0.000
Re1 Re 0.125 0.125 0.375
As1 As 0.250 0.250 0.750
# * ΔH_f (0 K): 0.56 eV/atom

no.,final energy (eV for the cell shown),V (Å³/cell)
1,-83.783,170
2,-20.034,113
3,-10.384,154
4,-73.737,824
5,-121.514,332
6,-52.402,158
7,-117.258,1122
8,-219.245,402